The following is a DFT calculation (PBE-GGA) of a relaxed structure of BeTl3Os.

Lattice parameters (Å, degrees): 4.897 4.897 4.897 90.00 90.00 90.00
Fractional positions:
Be (0.000, 0.000, 0.000)
Tl (0.000, 0.000, 0.500)
Tl (0.000, 0.500, 0.000)
Tl (0.500, 0.000, 0.000)
Os (0.500, 0.500, 0.500)

## Properties
Space-group type: Pm-3m (221)
Formation energy, eV per atom: 1.315
Total energy, eV/cell: -15.478
Calculated volume, Å³ per atom: 23.5
D(E_F), states/eV/f.u.: 5.92
Relative energy among the computed polymorphs, eV per formula unit: 1.76
Total magnetization, μB/cell: 2.44